The following is a GGA-PBE calculation of an optimized crystal structure of CeTmOsRu, from Alexandria via LeMat-Bulk.

Output
For the total energy, the calculation gives -8.0164 eV/atom. Its density is 12.5 g/cm³. As for the formation enthalpy at 0 K: -0.29 eV/atom.

abc: 4.8268 4.8268 4.8268
angles: 60.00 60.00 60.00
Last column: nearest neighbours and their distance in Å.
Sites, in units of the cell vectors:
Ce 0.0000 0.0000 0.0000  4 Ru 2.96, 4 Os 2.96
Tm 0.5000 0.5000 0.5000  4 Ru 2.96, 4 Os 2.96
Os 0.2500 0.2500 0.2500  4 Ce 2.96, 4 Tm 2.96
Ru 0.7500 0.7500 0.7500  4 Tm 2.96, 4 Ce 2.96

***

The following is a GGA-PBE calculation of an optimized crystal structure of CeZrOsRu, from Alexandria via LeMat-Bulk.

Output
For the total energy, the calculation gives -9.0503 eV/atom. Its density is 11.4 g/cm³. As for the formation enthalpy at 0 K: -0.30 eV/atom.

abc: 4.7634 4.7634 4.7634
angles: 60.00 60.00 60.00
Last column: nearest neighbours and their distance in Å.
Sites, in units of the cell vectors:
Ce 0.0000 0.0000 0.0000  4 Ru 2.92, 4 Os 2.92
Zr 0.5000 0.5000 0.5000  4 Os 2.92, 4 Ru 2.92
Os 0.2500 0.2500 0.2500  4 Zr 2.92, 4 Ce 2.92
Ru 0.7500 0.7500 0.7500  4 Zr 2.92, 4 Ce 2.92

***

Please write out number 2 again, unchanged.
The following is a GGA-PBE calculation of an optimized crystal structure of CeZrOsRu, from Alexandria via LeMat-Bulk.

Output
For the total energy, the calculation gives -9.0503 eV/atom. Its density is 11.4 g/cm³. As for the formation enthalpy at 0 K: -0.30 eV/atom.

abc: 4.7634 4.7634 4.7634
angles: 60.00 60.00 60.00
Last column: nearest neighbours and their distance in Å.
Sites, in units of the cell vectors:
Ce 0.0000 0.0000 0.0000  4 Ru 2.92, 4 Os 2.92
Zr 0.5000 0.5000 0.5000  4 Os 2.92, 4 Ru 2.92
Os 0.2500 0.2500 0.2500  4 Zr 2.92, 4 Ce 2.92
Ru 0.7500 0.7500 0.7500  4 Zr 2.92, 4 Ce 2.92

***

Repeat the second record exactly.
The following is a GGA-PBE calculation of an optimized crystal structure of CeZrOsRu, from Alexandria via LeMat-Bulk.

Output
For the total energy, the calculation gives -9.0503 eV/atom. Its density is 11.4 g/cm³. As for the formation enthalpy at 0 K: -0.30 eV/atom.

abc: 4.7634 4.7634 4.7634
angles: 60.00 60.00 60.00
Last column: nearest neighbours and their distance in Å.
Sites, in units of the cell vectors:
Ce 0.0000 0.0000 0.0000  4 Ru 2.92, 4 Os 2.92
Zr 0.5000 0.5000 0.5000  4 Os 2.92, 4 Ru 2.92
Os 0.2500 0.2500 0.2500  4 Zr 2.92, 4 Ce 2.92
Ru 0.7500 0.7500 0.7500  4 Zr 2.92, 4 Ce 2.92

***

Please write out number 1 again, unchanged.
The following is a GGA-PBE calculation of an optimized crystal structure of CeTmOsRu, from Alexandria via LeMat-Bulk.

Output
For the total energy, the calculation gives -8.0164 eV/atom. Its density is 12.5 g/cm³. As for the formation enthalpy at 0 K: -0.29 eV/atom.

abc: 4.8268 4.8268 4.8268
angles: 60.00 60.00 60.00
Last column: nearest neighbours and their distance in Å.
Sites, in units of the cell vectors:
Ce 0.0000 0.0000 0.0000  4 Ru 2.96, 4 Os 2.96
Tm 0.5000 0.5000 0.5000  4 Ru 2.96, 4 Os 2.96
Os 0.2500 0.2500 0.2500  4 Ce 2.96, 4 Tm 2.96
Ru 0.7500 0.7500 0.7500  4 Tm 2.96, 4 Ce 2.96